A relaxed As3CS crystal. Source: the Alexandria database, functional PBE.

Structure (CIF):
```
data_As3CS
_chemical_formula_sum 'As3 C1 S1'
_cell_length_a 4.733
_cell_length_b 4.733
_cell_length_c 4.733
_cell_angle_alpha 90.00
_cell_angle_beta 90.00
_cell_angle_gamma 90.00
_symmetry_space_group_name_H-M 'P m -3 m'
_symmetry_Int_Tables_number 221
_symmetry_space_group_name_Hall '-P 4 2 3'
loop_
_atom_site_label
_atom_site_type_symbol
_atom_site_fract_x
_atom_site_fract_y
_atom_site_fract_z
_atom_site_occupancy
As1 As 0.000 0.000 0.500 1
C1 C 0.500 0.500 0.500 1
S1 S 0.000 0.000 0.000 1
```

Magnetization: 0.00 μB per atom
Formation energy from raw total energies: 2.033 eV per atom
Volume: 21.2 Å³/atom

A relaxed As3CS crystal. Source: the Alexandria database, functional PBE.

Structure (CIF):
```
data_As3CS
_chemical_formula_sum 'As3 C1 S1'
_cell_length_a 4.392
_cell_length_b 4.392
_cell_length_c 4.392
_cell_angle_alpha 90.00
_cell_angle_beta 90.00
_cell_angle_gamma 90.00
_symmetry_space_group_name_H-M 'P m -3 m'
_symmetry_Int_Tables_number 221
_symmetry_space_group_name_Hall '-P 4 2 3'
loop_
_atom_site_label
_atom_site_type_symbol
_atom_site_fract_x
_atom_site_fract_y
_atom_site_fract_z
_atom_site_occupancy
As1 As 0.000 0.000 0.500 1
C1 C 0.000 0.000 0.000 1
S1 S 0.500 0.500 0.500 1
```

Magnetization: 0.00 μB per atom
Formation energy from raw total energies: 1.225 eV per atom
Volume: 16.9 Å³/atom

A relaxed AsC3S crystal. Source: the Alexandria database, functional PBE.

Structure (CIF):
```
data_AsC3S
_chemical_formula_sum 'As1 C3 S1'
_cell_length_a 3.653
_cell_length_b 3.653
_cell_length_c 3.653
_cell_angle_alpha 90.00
_cell_angle_beta 90.00
_cell_angle_gamma 90.00
_symmetry_space_group_name_H-M 'P m -3 m'
_symmetry_Int_Tables_number 221
_symmetry_space_group_name_Hall '-P 4 2 3'
loop_
_atom_site_label
_atom_site_type_symbol
_atom_site_fract_x
_atom_site_fract_y
_atom_site_fract_z
_atom_site_occupancy
As1 As 0.000 0.000 0.000 1
C1 C 0.000 0.500 0.500 1
S1 S 0.500 0.500 0.500 1
```

Magnetization: 0.00 μB per atom
Formation energy from raw total energies: 2.568 eV per atom
Volume: 9.7 Å³/atom

A relaxed AsCS3 crystal. Source: the Alexandria database, functional PBE.

Structure (CIF):
```
data_AsCS3
_chemical_formula_sum 'As1 C1 S3'
_cell_length_a 4.690
_cell_length_b 4.690
_cell_length_c 4.690
_cell_angle_alpha 90.00
_cell_angle_beta 90.00
_cell_angle_gamma 90.00
_symmetry_space_group_name_H-M 'P m -3 m'
_symmetry_Int_Tables_number 221
_symmetry_space_group_name_Hall '-P 4 2 3'
loop_
_atom_site_label
_atom_site_type_symbol
_atom_site_fract_x
_atom_site_fract_y
_atom_site_fract_z
_atom_site_occupancy
As1 As 0.000 0.000 0.000 1
C1 C 0.500 0.500 0.500 1
S1 S 0.000 0.000 0.500 1
```

Magnetization: 0.00 μB per atom
Formation energy from raw total energies: 2.008 eV per atom
Volume: 20.6 Å³/atom

A relaxed AsC3S crystal. Source: the Alexandria database, functional PBE.

Structure (CIF):
```
data_AsC3S
_chemical_formula_sum 'As1 C3 S1'
_cell_length_a 3.927
_cell_length_b 3.927
_cell_length_c 3.927
_cell_angle_alpha 90.00
_cell_angle_beta 90.00
_cell_angle_gamma 90.00
_symmetry_space_group_name_H-M 'P m -3 m'
_symmetry_Int_Tables_number 221
_symmetry_space_group_name_Hall '-P 4 2 3'
loop_
_atom_site_label
_atom_site_type_symbol
_atom_site_fract_x
_atom_site_fract_y
_atom_site_fract_z
_atom_site_occupancy
As1 As 0.000 0.000 0.000 1
C1 C 0.000 0.000 0.500 1
S1 S 0.500 0.500 0.500 1
```

Magnetization: 0.00 μB per atom
Formation energy from raw total energies: 2.901 eV per atom
Volume: 12.1 Å³/atom

A relaxed AsCS3 crystal. Source: the Alexandria database, functional PBE.

Structure (CIF):
```
data_AsCS3
_chemical_formula_sum 'As1 C1 S3'
_cell_length_a 4.151
_cell_length_b 4.151
_cell_length_c 4.151
_cell_angle_alpha 90.00
_cell_angle_beta 90.00
_cell_angle_gamma 90.00
_symmetry_space_group_name_H-M 'P m -3 m'
_symmetry_Int_Tables_number 221
_symmetry_space_group_name_Hall '-P 4 2 3'
loop_
_atom_site_label
_atom_site_type_symbol
_atom_site_fract_x
_atom_site_fract_y
_atom_site_fract_z
_atom_site_occupancy
As1 As 0.000 0.000 0.000 1
C1 C 0.500 0.500 0.500 1
S1 S 0.000 0.500 0.500 1
```

Magnetization: 0.00 μB per atom
Formation energy from raw total energies: 1.197 eV per atom
Volume: 14.3 Å³/atom

| no. | E above lowest polymorph (eV/f.u.) |
| --- | --- |
| 1 | 4.04 |
| 2 | 0.00 |
| 3 | 0.00 |
| 4 | 4.05 |
| 5 | 1.66 |
| 6 | 0.00 |